[1]
A plane-wave DFT calculation with PBE was carried out for a relaxed AcPrThAl crystal.

## Properties
**Total magnetization**: 0.000 μB/atom
**N(E_F)**: 6.0 states/eV/f.u.
**Uncorrected energy**: -19.59 eV per cell
**Formation enthalpy at 0 K**: 0.1161 eV/atom

a = 5.6291 Å, b = 5.6291 Å, c = 5.6291 Å
α = 60.00°, β = 60.00°, γ = 60.00°
Last column: nearest neighbours and their distance in Å.
Atoms (fractional coordinates):
Th (0.0000, 0.0000, 0.0000)  4 Ac 3.45, 4 Al 3.45
Al (0.2500, 0.2500, 0.2500)  4 Th 3.45, 4 Pr 3.45
Ac (0.7500, 0.7500, 0.7500)  4 Pr 3.45, 4 Th 3.45
Pr (0.5000, 0.5000, 0.5000)  4 Al 3.45, 4 Ac 3.45

=====

[2]
A plane-wave DFT calculation with PBE was carried out for a relaxed K2RbSb crystal.

## Properties
**Total magnetization**: 0.000 μB/atom
**N(E_F)**: 2.6 states/eV/f.u.
**Uncorrected energy**: -8.17 eV per cell
**Formation energy from raw total energies**: -221 meV per atom

a = 5.4746 Å, b = 5.6115 Å, c = 5.6115 Å
α = 90.00°, β = 90.00°, γ = 90.00°
Last column: nearest neighbours and their distance in Å.
Atoms (fractional coordinates):
Rb (0.5000, 0.0000, 0.0000)  8 K 3.92, 4 Sb 3.97
Sb (0.5000, 0.5000, 0.5000)  8 K 3.92, 4 Rb 3.97
K (0.0000, 0.5000, 0.0000)  4 Sb 3.92, 4 Rb 3.92, 4 K 3.97
K (0.0000, 0.0000, 0.5000)  4 Sb 3.92, 4 Rb 3.92, 4 K 3.97